A plane-wave DFT calculation with PBE-GGA was carried out for an optimized crystal structure of HfInOsPd.

```
data_HfInOsPd
_chemical_formula_sum 'Hf4 In4 Os4 Pd4'
_symmetry_space_group_name_H-M 'F -4 3 m'
_symmetry_Int_Tables_number 216
_symmetry_space_group_name_Hall 'F -4 2 3'
_cell_length_a 6.545
_cell_length_b 6.545
_cell_length_c 6.545
_cell_angle_alpha 90.00
_cell_angle_beta 90.00
_cell_angle_gamma 90.00
loop_
_atom_site_label
_atom_site_fract_x
_atom_site_fract_y
_atom_site_fract_z
Hf1 0.000 0.000 0.000
In1 0.000 0.000 0.500
Os1 0.250 0.250 0.750
Pd1 0.250 0.250 0.250
```

Calculated values
Uncorrected energy: -122.64 eV/cell
Total magnetization: 0.0 μB per formula unit
Theoretical density: 14.0 g cm⁻³

A plane-wave DFT calculation with PBE-GGA was carried out for an optimized crystal structure of Y2AsH.

```
data_Y2AsH
_chemical_formula_sum 'Y2 As1 H1'
_symmetry_space_group_name_H-M 'P 3 m 1'
_symmetry_Int_Tables_number 156
_cell_length_a 3.9589
_cell_length_b 3.9589
_cell_length_c 6.3524
_cell_angle_alpha 90.00
_cell_angle_beta 90.00
_cell_angle_gamma 120.00
loop_
_symmetry_equiv_pos_as_xyz
'x,y,z'
'-y,x-y,z'
'-x+y,-x,z'
'-y,-x,z'
'-x+y,y,z'
'x,x-y,z'
loop_
_atom_site_label
_atom_site_fract_x
_atom_site_fract_y
_atom_site_fract_z
Y1 0.0000 0.0000 0.0000
Y2 0.3333 0.6667 0.5344
As1 0.6667 0.3333 0.2712
H1 0.3333 0.6667 0.8887
```

Calculated values
Energy above the most stable polymorph in this dataset: 0 meV per atom
Total magnetization: 0.6 μB per formula unit
Theoretical density: 4.9 g cm⁻³

A plane-wave DFT calculation with PBE-GGA was carried out for an optimized crystal structure of RbTc2Au.

```
data_RbTc2Au
_chemical_formula_sum 'Rb4 Tc8 Au4'
_symmetry_space_group_name_H-M 'I -4 2 d'
_symmetry_Int_Tables_number 122
_symmetry_space_group_name_Hall 'I -4 2bw'
_cell_length_a 4.467
_cell_length_b 4.467
_cell_length_c 20.432
_cell_angle_alpha 90.00
_cell_angle_beta 90.00
_cell_angle_gamma 90.00
loop_
_atom_site_label
_atom_site_fract_x
_atom_site_fract_y
_atom_site_fract_z
Rb1 0.000 0.000 0.000
Tc1 0.075 0.250 0.625
Au1 0.000 0.000 0.500
```

Calculated values
Energy above the most stable polymorph in this dataset: 0 meV per atom
Total magnetization: 0.0 μB per formula unit
Theoretical density: 7.8 g cm⁻³

A plane-wave DFT calculation with PBE-GGA was carried out for an optimized crystal structure of TlCrTc2.

```
data_TlCrTc2
_chemical_formula_sum 'Tl2 Cr2 Tc4'
_symmetry_space_group_name_H-M 'C m m m'
_symmetry_Int_Tables_number 65
_symmetry_space_group_name_Hall '-C 2 2'
_cell_length_a 5.741
_cell_length_b 7.482
_cell_length_c 3.020
_cell_angle_alpha 90.00
_cell_angle_beta 90.00
_cell_angle_gamma 90.00
loop_
_atom_site_label
_atom_site_fract_x
_atom_site_fract_y
_atom_site_fract_z
Tl1 0.000 0.000 0.000
Cr1 0.000 0.500 0.000
Tc1 0.250 0.250 0.500
```

Calculated values
Energy above the most stable polymorph in this dataset: 302 meV per atom
Total magnetization: 0.3 μB per formula unit
Theoretical density: 11.6 g cm⁻³

A plane-wave DFT calculation with PBE-GGA was carried out for an optimized crystal structure of MoPbAu2.

```
data_MoPbAu2
_chemical_formula_sum 'Mo1 Pb1 Au2'
_symmetry_space_group_name_H-M 'P m m 2'
_symmetry_Int_Tables_number 25
_cell_length_a 3.085
_cell_length_b 4.686
_cell_length_c 5.414
_cell_angle_alpha 90.00
_cell_angle_beta 90.00
_cell_angle_gamma 90.00
loop_
_symmetry_equiv_pos_as_xyz
'x,y,z'
'-x,-y,z'
'-x,y,z'
'x,-y,z'
loop_
_atom_site_label
_atom_site_fract_x
_atom_site_fract_y
_atom_site_fract_z
Mo1 0.000 0.000 0.000
Pb1 0.000 0.500 0.678
Au1 0.500 0.000 0.457
Au2 0.500 0.500 0.156
```

Calculated values
Uncorrected energy: -19.33 eV/cell
Total magnetization: 0.0 μB per formula unit
Theoretical density: 14.8 g cm⁻³

A plane-wave DFT calculation with PBE-GGA was carried out for an optimized crystal structure of Ho2Mg3Tl2.

```
data_Ho2Mg3Tl2
_chemical_formula_sum 'Ho4 Mg6 Tl4'
_symmetry_space_group_name_H-M 'C m m m'
_symmetry_Int_Tables_number 65
_symmetry_space_group_name_Hall '-C 2 2'
_cell_length_a 4.765
_cell_length_b 22.155
_cell_length_c 3.500
_cell_angle_alpha 90.00
_cell_angle_beta 90.00
_cell_angle_gamma 90.00
loop_
_atom_site_label
_atom_site_fract_x
_atom_site_fract_y
_atom_site_fract_z
Ho1 0.000 0.155 0.000
Mg1 0.000 0.000 0.000
Mg2 0.000 0.431 0.500
Tl1 0.000 0.293 0.500
```

Calculated values
Uncorrected energy: -38.73 eV/cell
Total magnetization: 0.0 μB per formula unit
Theoretical density: 7.3 g cm⁻³

A plane-wave DFT calculation with PBE-GGA was carried out for an optimized crystal structure of V2GaI2.

```
data_V2GaI2
_chemical_formula_sum 'V4 Ga2 I4'
_symmetry_space_group_name_H-M 'P 4/m b m'
_symmetry_Int_Tables_number 127
_symmetry_space_group_name_Hall '-P 4 2ab'
_cell_length_a 8.717
_cell_length_b 8.717
_cell_length_c 3.543
_cell_angle_alpha 90.00
_cell_angle_beta 90.00
_cell_angle_gamma 90.00
loop_
_atom_site_label
_atom_site_fract_x
_atom_site_fract_y
_atom_site_fract_z
V1 0.077 0.423 0.000
Ga1 0.000 0.000 0.500
I1 0.170 0.670 0.500
```

Calculated values
Energy above the most stable polymorph in this dataset: 341 meV per atom
Total magnetization: 0.7 μB per formula unit
Theoretical density: 5.2 g cm⁻³
Energy relative to the elements, uncorrected: 0.647 eV per atom

A plane-wave DFT calculation with PBE-GGA was carried out for an optimized crystal structure of TbMgGaRh.

```
data_TbMgGaRh
_chemical_formula_sum 'Tb4 Mg4 Ga4 Rh4'
_symmetry_space_group_name_H-M 'F -4 3 m'
_symmetry_Int_Tables_number 216
_symmetry_space_group_name_Hall 'F -4 2 3'
_cell_length_a 6.755
_cell_length_b 6.755
_cell_length_c 6.755
_cell_angle_alpha 90.00
_cell_angle_beta 90.00
_cell_angle_gamma 90.00
loop_
_atom_site_label
_atom_site_fract_x
_atom_site_fract_y
_atom_site_fract_z
Tb1 0.000 0.000 0.000
Mg1 0.000 0.000 0.500
Ga1 0.250 0.250 0.250
Rh1 0.250 0.250 0.750
```

Calculated values
Uncorrected energy: -74.80 eV/cell
Total magnetization: 0.0 μB per formula unit
Theoretical density: 7.7 g cm⁻³

A plane-wave DFT calculation with PBE-GGA was carried out for an optimized crystal structure of Th2FeHg.

```
data_Th2FeHg
_chemical_formula_sum 'Th2 Fe1 Hg1'
_symmetry_space_group_name_H-M 'P 4/m m m'
_symmetry_Int_Tables_number 123
_symmetry_space_group_name_Hall '-P 4 2'
_cell_length_a 3.417
_cell_length_b 3.417
_cell_length_c 8.384
_cell_angle_alpha 90.00
_cell_angle_beta 90.00
_cell_angle_gamma 90.00
loop_
_atom_site_label
_atom_site_fract_x
_atom_site_fract_y
_atom_site_fract_z
Th1 0.000 0.000 0.207
Fe1 0.500 0.500 0.000
Hg1 0.500 0.500 0.500
```

Calculated values
Energy above the most stable polymorph in this dataset: 116 meV per atom
Total magnetization: 1.1 μB per formula unit
Theoretical density: 12.2 g cm⁻³

A plane-wave DFT calculation with PBE-GGA was carried out for an optimized crystal structure of Dy2ErTi.

```
data_Dy2ErTi
_chemical_formula_sum 'Dy6 Er3 Ti3'
_symmetry_space_group_name_H-M 'R 3 m'
_symmetry_Int_Tables_number 160
_symmetry_space_group_name_Hall 'R 3 -2"'
_cell_length_a 3.4076
_cell_length_b 3.4076
_cell_length_c 32.5328
_cell_angle_alpha 90.00
_cell_angle_beta 90.00
_cell_angle_gamma 120.00
loop_
_atom_site_label
_atom_site_fract_x
_atom_site_fract_y
_atom_site_fract_z
Dy1 0.0000 0.0000 0.0000
Dy2 0.0000 0.0000 0.1813
Er1 0.0000 0.0000 0.7575
Ti1 0.0000 0.0000 0.5909
```

Calculated values
Energy above the most stable polymorph in this dataset: 31 meV per atom
Total magnetization: 0.0 μB per formula unit
Theoretical density: 8.2 g cm⁻³

A plane-wave DFT calculation with PBE-GGA was carried out for an optimized crystal structure of Sr2HfSb.

```
data_Sr2HfSb
_chemical_formula_sum 'Sr8 Hf4 Sb4'
_symmetry_space_group_name_H-M 'I -4 2 d'
_symmetry_Int_Tables_number 122
_symmetry_space_group_name_Hall 'I -4 2bw'
_cell_length_a 9.343
_cell_length_b 9.343
_cell_length_c 6.297
_cell_angle_alpha 90.00
_cell_angle_beta 90.00
_cell_angle_gamma 90.00
loop_
_atom_site_label
_atom_site_fract_x
_atom_site_fract_y
_atom_site_fract_z
Sr1 0.217 0.250 0.125
Hf1 0.000 0.000 0.500
Sb1 0.000 0.000 0.000
```

Calculated values
Total magnetization: 1.2 μB per formula unit
Theoretical density: 5.7 g cm⁻³
Energy relative to the elements, uncorrected: 0.317 eV per atom

A plane-wave DFT calculation with PBE-GGA was carried out for an optimized crystal structure of Co2TcMo.

```
data_Co2TcMo
_chemical_formula_sum 'Co2 Tc1 Mo1'
_symmetry_space_group_name_H-M 'P m m 2'
_symmetry_Int_Tables_number 25
_cell_length_a 2.627
_cell_length_b 4.212
_cell_length_c 4.574
_cell_angle_alpha 90.00
_cell_angle_beta 90.00
_cell_angle_gamma 90.00
loop_
_symmetry_equiv_pos_as_xyz
'x,y,z'
'-x,-y,z'
'-x,y,z'
'x,-y,z'
loop_
_atom_site_label
_atom_site_fract_x
_atom_site_fract_y
_atom_site_fract_z
Co1 0.000 0.000 0.000
Co2 0.000 0.500 0.326
Tc1 0.500 0.000 0.478
Mo1 0.500 0.500 0.835
```

Calculated values
Energy above the most stable polymorph in this dataset: 0 meV per atom
Total magnetization: 0.0 μB per formula unit
Theoretical density: 10.2 g cm⁻³

A plane-wave DFT calculation with PBE-GGA was carried out for an optimized crystal structure of TiSb3Pt.

```
data_TiSb3Pt
_chemical_formula_sum 'Ti1 Sb3 Pt1'
_symmetry_space_group_name_H-M 'P m -3 m'
_symmetry_Int_Tables_number 221
_symmetry_space_group_name_Hall '-P 4 2 3'
_cell_length_a 5.142
_cell_length_b 5.142
_cell_length_c 5.142
_cell_angle_alpha 90.00
_cell_angle_beta 90.00
_cell_angle_gamma 90.00
loop_
_atom_site_label
_atom_site_fract_x
_atom_site_fract_y
_atom_site_fract_z
Ti1 0.000 0.000 0.000
Sb1 0.000 0.000 0.500
Pt1 0.500 0.500 0.500
```

Calculated values
Energy above the most stable polymorph in this dataset: 0 meV per atom
Total magnetization: 0.0 μB per formula unit
Theoretical density: 7.4 g cm⁻³
Energy relative to the elements, uncorrected: 0.525 eV per atom

A plane-wave DFT calculation with PBE-GGA was carried out for an optimized crystal structure of Tm7Co3.

```
data_Tm7Co3
_chemical_formula_sum 'Tm14 Co6'
_symmetry_space_group_name_H-M 'P 63 m c'
_symmetry_Int_Tables_number 186
_symmetry_space_group_name_Hall 'P 6c -2c'
_cell_length_a 9.4251
_cell_length_b 9.4251
_cell_length_c 6.0303
_cell_angle_alpha 90.00
_cell_angle_beta 90.00
_cell_angle_gamma 120.00
loop_
_atom_site_label
_atom_site_fract_x
_atom_site_fract_y
_atom_site_fract_z
Tm1 0.0829 0.5415 0.0000
Tm2 0.1237 0.2474 0.6823
Tm3 0.3333 0.6667 0.4759
Co1 0.1898 0.3796 0.2653
```

Calculated values
Uncorrected energy: -109.36 eV/cell
Total magnetization: 0.0 μB per formula unit
Theoretical density: 9.7 g cm⁻³

A plane-wave DFT calculation with PBE-GGA was carried out for an optimized crystal structure of Ba2NiHCl.

```
data_Ba2NiHCl
_chemical_formula_sum 'Ba2 Ni1 H1 Cl1'
_symmetry_space_group_name_H-M 'P 4/m m m'
_symmetry_Int_Tables_number 123
_symmetry_space_group_name_Hall '-P 4 2'
_cell_length_a 5.762
_cell_length_b 5.762
_cell_length_c 4.732
_cell_angle_alpha 90.00
_cell_angle_beta 90.00
_cell_angle_gamma 90.00
loop_
_atom_site_label
_atom_site_fract_x
_atom_site_fract_y
_atom_site_fract_z
Ba1 0.000 0.500 0.000
Ni1 0.000 0.000 0.000
H1 0.500 0.500 0.500
Cl1 0.000 0.000 0.500
```

Calculated values
Uncorrected energy: -15.71 eV/cell
Total magnetization: 0.0 μB per formula unit
Theoretical density: 3.9 g cm⁻³

A plane-wave DFT calculation with PBE-GGA was carried out for an optimized crystal structure of LiGeO2.

```
data_LiGeO2
_chemical_formula_sum 'Li4 Ge4 O8'
_symmetry_space_group_name_H-M 'P n a 21'
_symmetry_Int_Tables_number 33
_cell_length_a 5.536
_cell_length_b 7.787
_cell_length_c 5.861
_cell_angle_alpha 90.00
_cell_angle_beta 90.00
_cell_angle_gamma 90.00
loop_
_symmetry_equiv_pos_as_xyz
'x,y,z'
'-x,-y,z+1/2'
'-x+1/2,y+1/2,z+1/2'
'x+1/2,-y+1/2,z'
loop_
_atom_site_label
_atom_site_fract_x
_atom_site_fract_y
_atom_site_fract_z
Li1 0.240 0.017 0.000
Ge1 0.165 0.617 0.000
O1 0.001 0.499 0.751
O2 0.013 0.832 0.997
```

Calculated values
Total magnetization: 0.0 μB per formula unit
Theoretical density: 2.9 g cm⁻³
Energy relative to the elements, uncorrected: -1.404 eV per atom

A plane-wave DFT calculation with PBE-GGA was carried out for an optimized crystal structure of PrCoHg.

```
data_PrCoHg
_chemical_formula_sum 'Pr4 Co4 Hg4'
_symmetry_space_group_name_H-M 'C 1 2/m 1'
_symmetry_Int_Tables_number 12
_cell_length_a 13.119
_cell_length_b 4.029
_cell_length_c 5.237
_cell_angle_alpha 90.00
_cell_angle_beta 103.08
_cell_angle_gamma 90.00
loop_
_symmetry_equiv_pos_as_xyz
'x,y,z'
'-x,-y,-z'
'-x,y,-z'
'x,-y,z'
'x+1/2,y+1/2,z'
'-x+1/2,-y+1/2,-z'
'-x+1/2,y+1/2,-z'
'x+1/2,-y+1/2,z'
loop_
_atom_site_label
_atom_site_fract_x
_atom_site_fract_y
_atom_site_fract_z
Pr1 0.129 0.000 0.318
Co1 0.229 0.000 0.897
Hg1 0.078 0.500 0.780
```

Calculated values
Uncorrected energy: -51.09 eV/cell
Total magnetization: 0.7 μB per formula unit
Theoretical density: 9.9 g cm⁻³

A plane-wave DFT calculation with PBE-GGA was carried out for an optimized crystal structure of TlInO3.

```
data_TlInO3
_chemical_formula_sum 'Tl4 In4 O12'
_symmetry_space_group_name_H-M 'C m c m'
_symmetry_Int_Tables_number 63
_symmetry_space_group_name_Hall '-C 2c 2'
_cell_length_a 3.469
_cell_length_b 14.236
_cell_length_c 5.723
_cell_angle_alpha 90.00
_cell_angle_beta 90.00
_cell_angle_gamma 90.00
loop_
_atom_site_label
_atom_site_fract_x
_atom_site_fract_y
_atom_site_fract_z
Tl1 0.000 0.060 0.250
In1 0.000 0.307 0.250
O1 0.000 0.176 0.502
O2 0.000 0.468 0.250
```

Calculated values
Total magnetization: 0.0 μB per formula unit
Theoretical density: 8.6 g cm⁻³
Energy relative to the elements, uncorrected: -0.998 eV per atom

A plane-wave DFT calculation with PBE-GGA was carried out for an optimized crystal structure of LiAc2S.

```
data_LiAc2S
_chemical_formula_sum 'Li3 Ac6 S3'
_symmetry_space_group_name_H-M 'R -3 m'
_symmetry_Int_Tables_number 166
_symmetry_space_group_name_Hall '-R 3 2"'
_cell_length_a 4.0505
_cell_length_b 4.0505
_cell_length_c 32.6310
_cell_angle_alpha 90.00
_cell_angle_beta 90.00
_cell_angle_gamma 120.00
loop_
_atom_site_label
_atom_site_fract_x
_atom_site_fract_y
_atom_site_fract_z
Li1 0.0000 0.0000 0.0000
Ac1 0.0000 0.0000 0.1105
S1 0.0000 0.0000 0.5000
```

Calculated values
Total magnetization: 0.0 μB per formula unit
Theoretical density: 5.3 g cm⁻³
Energy relative to the elements, uncorrected: -0.639 eV per atom

A plane-wave DFT calculation with PBE-GGA was carried out for an optimized crystal structure of La3Sm2In4.

```
data_La3Sm2In4
_chemical_formula_sum 'La6 Sm4 In8'
_symmetry_space_group_name_H-M 'I m m m'
_symmetry_Int_Tables_number 71
_symmetry_space_group_name_Hall '-I 2 2'
_cell_length_a 5.429
_cell_length_b 6.136
_cell_length_c 17.240
_cell_angle_alpha 90.00
_cell_angle_beta 90.00
_cell_angle_gamma 90.00
loop_
_atom_site_label
_atom_site_fract_x
_atom_site_fract_y
_atom_site_fract_z
La1 0.000 0.000 0.000
La2 0.000 0.500 0.118
Sm1 0.000 0.500 0.336
In1 0.000 0.000 0.252
In2 0.000 0.228 0.500
```

Calculated values
Energy above the most stable polymorph in this dataset: 51 meV per atom
Total magnetization: 0.0 μB per formula unit
Theoretical density: 6.8 g cm⁻³